Entry 1:
Compound: MgSc2Cl
Source: Alexandria via LeMat-Bulk
Functional: GGA-PBE
Structure: optimized geometry

a = 6.1673 Å, b = 6.1673 Å, c = 5.2345 Å
α = 112.58°, β = 112.58°, γ = 30.05°
Closest atoms and distances in Å follow each position.
Sites, in units of the cell vectors:
Mg 0.0000 0.0000 0.0000  6 Sc 3.11-3.40, 2 Mg 3.20, 2 Cl 3.24
Sc 0.5507 0.5507 0.5445  2 Cl 2.64
Sc 0.8022 0.8022 0.3215  2 Cl 2.92, 4 Sc 3.15-3.20
Cl 0.2433 0.2433 0.7175  4 Sc 2.64-2.92

Summary:
* offset from the most stable computed form: 0.814 eV/f.u.
* uncorrected energy: -17.7 eV/cell
* SG: Cm
* density of states at the Fermi level: 3.3 states/eV/cell

---

Entry 2:
Compound: Sm3Tm2Mg8
Source: Alexandria via LeMat-Bulk
Functional: GGA-PBE
Structure: optimized geometry

a = 12.8978 Å, b = 12.8978 Å, c = 12.8978 Å
α = 26.15°, β = 26.15°, γ = 26.15°
Closest atoms and distances in Å follow each position.
Sites, in units of the cell vectors:
Sm 0.0000 0.0000 0.0000  6 Tm 3.51
Sm 0.1831 0.1831 0.1831  10 Mg 3.44-3.49, 3 Sm 3.58
Sm 0.8169 0.8169 0.8169  10 Mg 3.44-3.49, 3 Sm 3.58
Tm 0.3594 0.3594 0.3594  4 Mg 3.14-3.28, 3 Sm 3.51
Tm 0.6406 0.6406 0.6406  4 Mg 3.14-3.28, 3 Sm 3.51
Mg 0.2311 0.7325 0.7325  4 Mg 2.91-2.93
Mg 0.2675 0.2675 0.7689  4 Mg 2.91-2.93
Mg 0.2675 0.7689 0.2675  4 Mg 2.91-2.93
Mg 0.2754 0.2754 0.2754  1 Tm 3.14, 6 Mg 3.34, 1 Sm 3.45
Mg 0.7246 0.7246 0.7246  1 Tm 3.14, 6 Mg 3.34, 1 Sm 3.45
Mg 0.7325 0.2311 0.7325  4 Mg 2.91-2.93
Mg 0.7325 0.7325 0.2311  4 Mg 2.91-2.93
Mg 0.7689 0.2675 0.2675  4 Mg 2.91-2.93

Summary:
* uncorrected energy: -34.3 eV/cell
* SG: R-3m
* energy of formation from the pure elements: 119.0 meV/atom
* density of states at the Fermi level: 14.7 states/eV/cell

---

Entry 3:
Compound: Na5SbSe5
Source: Alexandria via LeMat-Bulk
Functional: GGA-PBE
Structure: optimized geometry

a = 7.4233 Å, b = 7.4233 Å, c = 8.2368 Å
α = 106.24°, β = 106.24°, γ = 45.75°
Closest atoms and distances in Å follow each position.
Sites, in units of the cell vectors:
Na 0.0000 0.0000 0.0000  4 Se 2.81-2.97
Na 0.3193 0.3193 0.6362  5 Se 2.94-3.03
Na 0.3204 0.3204 0.1893  4 Se 2.91-3.05
Na 0.6796 0.6796 0.8107  4 Se 2.91-3.05
Na 0.6807 0.6807 0.3638  5 Se 2.94-3.03
Sb 0.0000 0.0000 0.5000  6 Se 2.68-2.89
Se 0.1389 0.1389 0.3306  1 Sb 2.68, 4 Na 2.81-2.94
Se 0.1519 0.1519 0.8074  1 Sb 2.75, 4 Na 2.91-3.03
Se 0.5000 0.5000 0.5000  2 Sb 2.89, 4 Na 2.96-3.01
Se 0.8481 0.8481 0.1926  1 Sb 2.75, 4 Na 2.91-3.03
Se 0.8611 0.8611 0.6694  1 Sb 2.68, 4 Na 2.81-2.94

Summary:
* uncorrected energy: -36.2 eV/cell
* SG: C2/m
* density of states at the Fermi level: 5.4 states/eV/cell

---

Entry 4:
Compound: YNiIrPt2
Source: Alexandria via LeMat-Bulk
Functional: GGA-PBE
Structure: optimized geometry

a = 4.5456 Å, b = 4.5456 Å, c = 4.6928 Å
α = 90.00°, β = 90.00°, γ = 90.00°
Closest atoms and distances in Å follow each position.
Sites, in units of the cell vectors:
Y 0.0000 0.0000 0.0000  2 Ni 2.35
Ni 0.0000 0.0000 0.5000  4 Pt 2.27, 2 Y 2.35
Ir 0.5000 0.5000 0.0000  4 Y 3.21, 8 Pt 3.27
Pt 0.0000 0.5000 0.5000  2 Ni 2.27
Pt 0.5000 0.0000 0.5000  2 Ni 2.27

Summary:
* uncorrected energy: -30.6 eV/cell
* SG: P4/mmm
* energy of formation from the pure elements: 518.8 meV/atom
* density of states at the Fermi level: 7.5 states/eV/cell

---

Entry 5:
Compound: Pm3HoSn6
Source: Alexandria via LeMat-Bulk
Functional: GGA-PBE
Structure: optimized geometry

a = 7.3589 Å, b = 9.5598 Å, c = 10.5801 Å
α = 90.00°, β = 128.44°, γ = 90.00°
Closest atoms and distances in Å follow each position.
Sites, in units of the cell vectors:
Pm 0.0000 0.0000 0.0000  6 Sn 3.14-3.37
Pm 0.0000 0.5000 0.5000  6 Sn 3.14-3.37
Pm 0.2614 0.0990 0.7947  8 Sn 3.22-3.53
Pm 0.2614 0.4009 0.2947  8 Sn 3.22-3.53
Pm 0.7386 0.5990 0.7053  8 Sn 3.22-3.53
Pm 0.7386 0.9010 0.2053  8 Sn 3.22-3.53
Ho 0.5000 0.0000 0.5000  4 Sn 3.05-3.20
Ho 0.5000 0.5000 0.0000  4 Sn 3.05-3.20
Sn 0.0691 0.1685 0.4285  3 Sn 3.00-3.30, 1 Ho 3.20, 2 Pm 3.26-3.30
Sn 0.0691 0.3315 0.9285  3 Sn 3.00-3.30, 1 Ho 3.20, 2 Pm 3.26-3.30
Sn 0.2248 0.7314 0.4254  3 Sn 3.00-3.21, 1 Ho 3.05, 3 Pm 3.14-3.28
Sn 0.2248 0.7686 0.9254  3 Sn 3.00-3.21, 1 Ho 3.05, 3 Pm 3.14-3.28
Sn 0.4986 0.1828 0.2039  4 Sn 3.01-3.30, 3 Pm 3.22-3.37
Sn 0.4986 0.3172 0.7039  4 Sn 3.01-3.30, 3 Pm 3.22-3.37
Sn 0.5014 0.6828 0.2961  4 Sn 3.01-3.30, 3 Pm 3.22-3.37
Sn 0.5014 0.8172 0.7961  4 Sn 3.01-3.30, 3 Pm 3.22-3.37
Sn 0.7752 0.2314 0.0746  3 Sn 3.00-3.21, 1 Ho 3.05, 3 Pm 3.14-3.28
Sn 0.7752 0.2686 0.5746  3 Sn 3.00-3.21, 1 Ho 3.05, 3 Pm 3.14-3.28
Sn 0.9309 0.6685 0.0715  3 Sn 3.00-3.30, 1 Ho 3.20, 2 Pm 3.26-3.30
Sn 0.9309 0.8315 0.5715  3 Sn 3.00-3.30, 1 Ho 3.20, 2 Pm 3.26-3.30

Summary:
* uncorrected energy: -95.3 eV/cell
* SG: P2_1/c
* energy of formation from the pure elements: -478.2 meV/atom
* density of states at the Fermi level: 12.0 states/eV/cell

---

Entry 6:
Compound: Dy4Ga2Sn
Source: Alexandria via LeMat-Bulk
Functional: GGA-PBE
Structure: optimized geometry

a = 9.3899 Å, b = 8.1195 Å, c = 8.0609 Å
α = 70.95°, β = 54.82°, γ = 54.24°
Closest atoms and distances in Å follow each position.
Sites, in units of the cell vectors:
Dy 0.1205 0.3083 0.3119  3 Ga 2.94-2.95, 1 Sn 3.06
Dy 0.2407 0.6881 0.6917  3 Ga 2.94-2.95, 1 Sn 3.06
Dy 0.3083 0.1205 0.7593  3 Ga 2.94-2.95, 1 Sn 3.06
Dy 0.3119 0.7593 0.1205  3 Ga 2.94-2.95, 1 Sn 3.06
Dy 0.6881 0.2407 0.8795  3 Ga 2.94-2.95, 1 Sn 3.06
Dy 0.6917 0.8795 0.2407  3 Ga 2.94-2.95, 1 Sn 3.06
Dy 0.7593 0.3119 0.3083  3 Ga 2.94-2.95, 1 Sn 3.06
Dy 0.8795 0.6917 0.6881  3 Ga 2.94-2.95, 1 Sn 3.06
Ga 0.0000 0.0000 0.0000  6 Dy 2.94-2.95
Ga 0.0000 0.0000 0.5000  6 Dy 2.94-2.95
Ga 0.0000 0.5000 0.0000  6 Dy 2.94-2.95
Ga 0.5000 0.0000 0.0000  6 Dy 2.94-2.95
Sn 0.3750 0.3750 0.3750  8 Dy 3.06-3.37
Sn 0.6250 0.6250 0.6250  8 Dy 3.06-3.37

Summary:
* uncorrected energy: -62.1 eV/cell
* SG: Fddd
* energy of formation from the pure elements: -372.7 meV/atom
* density of states at the Fermi level: 15.0 states/eV/cell

---

Entry 7:
Compound: Gd2TmCo
Source: Alexandria via LeMat-Bulk
Functional: GGA-PBE
Structure: optimized geometry

a = 3.4263 Å, b = 3.4263 Å, c = 8.7639 Å
α = 90.00°, β = 90.00°, γ = 90.00°
Closest atoms and distances in Å follow each position.
Sites, in units of the cell vectors:
Gd 0.0000 0.0000 0.1868  4 Co 2.92, 1 Gd 3.27
Gd 0.0000 0.0000 0.8132  4 Co 2.92, 1 Gd 3.27
Tm 0.5000 0.5000 0.5000  4 Tm 3.43, 8 Gd 3.66
Co 0.5000 0.5000 0.0000  8 Gd 2.92

Summary:
* offset from the most stable computed form: 0.000 eV/f.u.
* uncorrected energy: -39.8 eV/cell
* SG: P4/mmm
* energy of formation from the pure elements: -8.8 meV/atom
* density of states at the Fermi level: 6.3 states/eV/cell